DFT (PBE) results for MoW2Se4S2 after structural relaxation.

Summary:
SG: P3m1
offset from the most stable computed form: 0 kJ/mol of formula units
formation energy without anion corrections: -0.68 eV/atom
total magnetic moment: 0.0 Bohr magnetons per cell

a b c (Å): 3.2761 3.2761 22.7798
angles (deg): 90.00 90.00 120.00
With the nearest neighbours (Å) after each atom.
Fractional coordinates of all 9 atoms:
Mo 0.0000 0.0000 0.0175  6 Se 2.54
Se 0.3333 0.6667 0.0917  3 Mo 2.54
Se 0.0000 0.0000 0.2746  3 W 2.54
Se 0.3333 0.6667 0.9433  3 Mo 2.54
Se 0.0000 0.0000 0.4239  3 W 2.54
S 0.3333 0.6667 0.6065  3 W 2.44
S 0.3333 0.6667 0.7420  3 W 2.44
W 0.3333 0.6667 0.3492  6 Se 2.54
W 0.0000 0.0000 0.6742  6 S 2.44